(1)
The following is a GGA-PBE calculation of a geometry-optimized CeTh2Se4 structure, from Alexandria via LeMat-Bulk.

Energy relative to the elements, uncorrected (eV per atom): -1.6312
Energy relative to the lowest polymorph listed for this composition (meV per atom): 43.1

The structure in CIF format:
```
data_CeTh2Se4
_chemical_formula_sum 'Ce2 Th4 Se8'
_space_group_name_H-M_alt 'P 1'
_space_group_IT_number 1
_cell_length_a 4.064
_cell_length_b 7.173
_cell_length_c 14.229
_cell_angle_alpha 90.00
_cell_angle_beta 90.00
_cell_angle_gamma 106.46
loop_
_space_group_symop_operation_xyz
'x,y,z'
loop_
_atom_site_label
_atom_site_type_symbol
_atom_site_fract_x
_atom_site_fract_y
_atom_site_fract_z
_atom_site_occupancy
Ce1 Ce 0.616 0.231 0.750 1
Ce2 Ce 0.384 0.769 0.250 1
Th1 Th 0.142 0.284 0.437 1
Th2 Th 0.858 0.716 0.937 1
Th3 Th 0.142 0.284 0.063 1
Th4 Th 0.858 0.716 0.563 1
Se1 Se 0.780 0.560 0.133 1
Se2 Se 0.780 0.560 0.367 1
Se3 Se 0.220 0.440 0.867 1
Se4 Se 0.220 0.440 0.633 1
Se5 Se 0.956 0.912 0.750 1
Se6 Se 0.044 0.088 0.250 1
Se7 Se 0.500 0.000 0.000 1
Se8 Se 0.500 0.000 0.500 1
```

(2)
The following is a GGA-PBE calculation of a geometry-optimized Ce3ThSe6 structure, from Alexandria via LeMat-Bulk.

Energy relative to the elements, uncorrected (eV per atom): -1.7626
Energy relative to the lowest polymorph listed for this composition (meV per atom): 0.0

The structure in CIF format:
```
data_Ce3ThSe6
_chemical_formula_sum 'Ce6 Th2 Se12'
_space_group_name_H-M_alt 'P 1'
_space_group_IT_number 1
_cell_length_a 4.203
_cell_length_b 11.744
_cell_length_c 12.178
_cell_angle_alpha 107.61
_cell_angle_beta 90.00
_cell_angle_gamma 90.00
loop_
_space_group_symop_operation_xyz
'x,y,z'
loop_
_atom_site_label
_atom_site_type_symbol
_atom_site_fract_x
_atom_site_fract_y
_atom_site_fract_z
_atom_site_occupancy
Ce1 Ce 0.750 0.422 0.833 1
Ce2 Ce 0.250 0.578 0.167 1
Ce3 Ce 0.750 0.681 0.505 1
Ce4 Ce 0.250 0.319 0.495 1
Ce5 Ce 0.750 0.158 0.075 1
Ce6 Ce 0.250 0.842 0.925 1
Th1 Th 0.750 0.045 0.694 1
Th2 Th 0.250 0.955 0.306 1
Se1 Se 0.750 0.482 0.618 1
Se2 Se 0.250 0.518 0.382 1
Se3 Se 0.750 0.917 0.105 1
Se4 Se 0.250 0.083 0.895 1
Se5 Se 0.750 0.403 0.069 1
Se6 Se 0.250 0.597 0.931 1
Se7 Se 0.750 0.754 0.283 1
Se8 Se 0.250 0.246 0.717 1
Se9 Se 0.750 0.110 0.462 1
Se10 Se 0.250 0.890 0.538 1
Se11 Se 0.750 0.814 0.752 1
Se12 Se 0.250 0.186 0.248 1
```